A relaxed structure of Zn2Cu2Pb. Source: Alexandria, functional PBE.

Output
calculated volume: 16.9 Å³ per atom
crystal system: tetragonal
VASP energy: -2.76 eV/atom
distance to the lowest polymorph of the same formula: 24.2 meV per atom
DFT formation energy: 0.134 eV per atom

Geometry as CIF:
```
data_Zn2Cu2Pb
_symmetry_space_group_name_H-M 'P 4/m b m'
_symmetry_Int_Tables_number 127
_symmetry_space_group_name_Hall '-P 4 2ab'
_cell_length_a 7.546
_cell_length_b 7.546
_cell_length_c 2.961
_cell_angle_alpha 90.00
_cell_angle_beta 90.00
_cell_angle_gamma 90.00
loop_
_atom_site_label
_atom_site_fract_x
_atom_site_fract_y
_atom_site_fract_z
_atom_site_occupancy
Zn1 0.166 0.334 0.000 1
Cu1 0.122 0.622 0.500 1
Pb1 0.000 0.000 0.500 1
```